VASP calculation (PBE-GGA) on crystalline Ba2SrGa at its relaxed geometry.

As for the calculated density: 4.20 g/cm3. The polymorph energy (0 for the lowest one) comes out at 183.8 meV/atom. For the energy of formation, the calculation gives 0.00 eV/f.u. The magnetization is 0.000 μB per formula unit.

It has space group Fm-3m (No. 225), with a = 8.8053 Å, b = 8.8053 Å, c = 8.8053 Å, α = 90.00°, β = 90.00° and γ = 90.00°. The inequivalent atoms are Ba at (0.2500, 0.2500, 0.2500), Sr at (0.0000, 0.0000, 0.0000) and Ga at (0.0000, 0.0000, 0.5000).

---

VASP calculation (PBE-GGA) on crystalline HfScO2F at its relaxed geometry.

As for the calculated density: 6.82 g/cm3. The calculation puts the formation energy (no corrections) at -10.45 eV per formula unit. The magnetization is 1.571 μB per formula unit.

It has space group P4/mmm (No. 123), with a = 4.1186 Å, b = 4.1186 Å, c = 3.9391 Å, α = 90.00°, β = 90.00° and γ = 90.00°. The inequivalent atoms are Hf at (0.0000, 0.0000, 0.0000), Sc at (0.5000, 0.5000, 0.5000), O at (0.0000, 0.5000, 0.5000) and F at (0.5000, 0.5000, 0.0000).

---

VASP calculation (PBE-GGA) on crystalline Al2ReSb at its relaxed geometry.

As for the calculated density: 8.57 g/cm3. The calculation puts the formation energy (no corrections) at 1.02 eV per formula unit. The magnetization is 0.000 μB per formula unit.

It has space group C2/m (No. 12), with a = 8.9647 Å, b = 3.3516 Å, c = 4.7677 Å, α = 90.00°, β = 101.65° and γ = 90.00°. The inequivalent atoms are Al at (0.2330, 0.0000, 0.2037), Re at (0.0000, 0.5000, 0.0000) and Sb at (0.0000, 0.0000, 0.5000).

---

VASP calculation (PBE-GGA) on crystalline Na2CdGe at its relaxed geometry.

As for the calculated density: 3.69 g/cm3. For the energy of formation, the calculation gives 0.56 eV/f.u. The magnetization is 0.000 μB per formula unit.

It has space group I-42d (No. 122), with a = 8.4554 Å, b = 8.4554 Å, c = 5.8111 Å, α = 90.00°, β = 90.00° and γ = 90.00°. The inequivalent atoms are Na at (0.2328, 0.7500, 0.1250), Cd at (0.0000, 0.0000, 0.5000) and Ge at (0.0000, 0.0000, 0.0000).

---

VASP calculation (PBE-GGA) on crystalline PmZnInGe at its relaxed geometry.

As for the calculated density: 7.30 g/cm3. For the energy of formation, the calculation gives -0.92 eV/f.u. The magnetization is 0.000 μB per formula unit.

It has space group F-43m (No. 216), with a = 7.1257 Å, b = 7.1257 Å, c = 7.1257 Å, α = 90.00°, β = 90.00° and γ = 90.00°. The inequivalent atoms are Pm at (0.0000, 0.0000, 0.0000), Zn at (0.2500, 0.2500, 0.7500), In at (0.0000, 0.0000, 0.5000) and Ge at (0.2500, 0.2500, 0.2500).

---

VASP calculation (PBE-GGA) on crystalline CaZrCu at its relaxed geometry.

As for the calculated density: 4.57 g/cm3. The polymorph energy (0 for the lowest one) comes out at 0.0 meV/atom. For the energy of formation, the calculation gives 0.11 eV/f.u. The magnetization is 0.000 μB per formula unit.

It has space group P4mm (No. 99), with a = 3.3804 Å, b = 3.3804 Å, c = 12.4019 Å, α = 90.00°, β = 90.00° and γ = 90.00°. The inequivalent atoms are Ca at (0.0000, 0.0000, 0.0000), Ca at (0.5000, 0.5000, 0.2558), Zr at (0.0000, 0.0000, 0.4740), Zr at (0.5000, 0.5000, 0.6353), Cu at (0.0000, 0.0000, 0.7621) and Cu at (0.5000, 0.5000, 0.8535).

---

VASP calculation (PBE-GGA) on crystalline Sr3CePt3 at its relaxed geometry.

As for the calculated density: 7.91 g/cm3. For the energy of formation, the calculation gives -5.35 eV/f.u. The magnetization is 0.691 μB per formula unit.

It has space group C2/m (No. 12), with a = 12.0112 Å, b = 9.4122 Å, c = 7.5884 Å, α = 90.00°, β = 104.72° and γ = 90.00°. The inequivalent atoms are Sr at (0.0000, 0.2046, 0.0000), Sr at (0.0000, 0.2912, 0.5000), Sr at (0.2227, 0.5000, 0.9951), Ce at (0.2029, 0.0000, 0.4741), Pt at (0.0445, 0.0000, 0.7024) and Pt at (0.2397, 0.2505, 0.2863).

---

VASP calculation (PBE-GGA) on crystalline HBr at its relaxed geometry.

As for the calculated density: 2.38 g/cm3. The magnetization is 0.000 μB per formula unit. The total DFT energy (no corrections) comes out at -22.11 eV/cell.

It has space group Cmc2_1 (No. 36), with a = 7.2214 Å, b = 5.7075 Å, c = 5.4807 Å, α = 90.00°, β = 90.00° and γ = 90.00°. The inequivalent atoms are H at (0.0000, 0.0513, 0.0000) and Br at (0.0000, 0.2301, 0.1925).